Record 1
VASP calculation (PBE-GGA) on crystalline MnAgCl2 at its relaxed geometry.

Unit cell a=6.257 b=6.257 c=3.402 alpha=57.25 beta=57.25 gamma=73.11
Site moments in Bohr magnetons follow the coordinates.
Atoms (fractional coordinates):
Cl1 0.500 0.500 0.000  0.02
Cl2 0.000 0.000 0.000  0.02
Ag1 0.000 0.500 0.500  0.01
Mn1 0.500 0.000 0.500  4.17

Output
Raw formation energy (eV per formula unit): -0.661

Record 2
VASP calculation (PBE-GGA) on crystalline CrMo3 at its relaxed geometry.

Unit cell a=4.588 b=5.057 c=5.265 alpha=90.00 beta=90.00 gamma=90.00
Site moments in Bohr magnetons follow the coordinates.
Atoms (fractional coordinates):
Mo1 0.000 0.500 0.372  -0.22
Mo2 0.500 0.000 0.628  -0.22
Mo3 0.000 0.247 0.855  0.01
Mo4 0.000 0.753 0.855  0.01
Cr1 0.500 0.500 0.655  1.33
Mo5 0.500 0.253 0.145  0.01
Mo6 0.500 0.747 0.145  0.01
Cr2 0.000 0.000 0.345  1.33

Output
E_form (eV/f.u.): 1.44

Record 3
VASP calculation (PBE-GGA) on crystalline Sm2Dy2Ho4Tm at its relaxed geometry.

Unit cell a=3.579 b=9.463 c=9.512 alpha=115.28 beta=90.00 gamma=100.90
Atoms (fractional coordinates):
Ho1 0.185 0.369 0.333
Dy1 0.666 0.332 0.001
Ho2 0.481 0.963 0.669
Tm1 0.000 0.000 0.000
Ho3 0.815 0.631 0.667
Sm1 0.148 0.296 0.665
Ho4 0.519 0.037 0.331
Sm2 0.852 0.704 0.335
Dy2 0.334 0.668 0.999

Output
E_form (eV/f.u.): 0.05

Record 4
VASP calculation (PBE-GGA) on crystalline CeYZnAu at its relaxed geometry.

Unit cell a=5.152 b=5.152 c=5.152 alpha=60.00 beta=60.00 gamma=60.00
Site moments in Bohr magnetons follow the coordinates.
Atoms (fractional coordinates):
Zn1 0.000 0.000 0.000  0.00
Ce1 0.250 0.250 0.250  0.69
Y1 0.750 0.750 0.750  0.03
Au1 0.500 0.500 0.500  0.00

Output
E_form (eV/f.u.): -1.86

Record 5
VASP calculation (PBE-GGA) on crystalline AlHg2W at its relaxed geometry.

Unit cell a=5.110 b=5.110 c=2.927 alpha=90.00 beta=90.00 gamma=90.00
Site moments in Bohr magnetons follow the coordinates.
Atoms (fractional coordinates):
Hg1 0.000 0.000 0.000  0.01
Hg2 0.500 0.500 0.000  0.01
Al1 0.000 0.500 0.500  0.02
W1 0.500 0.000 0.500  0.60

Output
E_form (eV/f.u.): 2.84

Record 6
VASP calculation (PBE-GGA) on crystalline TbSn2Ge at its relaxed geometry.

Unit cell a=4.781 b=4.510 c=4.510 alpha=90.00 beta=90.00 gamma=90.00
Atoms (fractional coordinates):
Tb1 0.500 0.500 0.500
Sn1 0.000 0.000 0.500
Ge1 0.500 0.000 0.000
Sn2 0.000 0.500 0.000

Output
E_form (eV/f.u.): -1.63

Record 7
VASP calculation (PBE-GGA) on crystalline YCdTe3 at its relaxed geometry.

Unit cell a=4.523 b=6.503 c=13.025 alpha=107.23 beta=90.00 gamma=90.00
Atoms (fractional coordinates):
Te1 0.750 0.825 0.600
Te2 0.250 0.175 0.400
Y1 0.250 0.171 0.162
Cd1 0.250 0.102 0.618
Cd2 0.750 0.898 0.382
Te3 0.750 0.837 0.077
Te4 0.250 0.497 0.785
Te5 0.750 0.503 0.215
Y2 0.750 0.829 0.838
Te6 0.250 0.163 0.923

Output
Raw formation energy (eV per formula unit): -3.729

Record 8
VASP calculation (PBE-GGA) on crystalline B5C3 at its relaxed geometry.

Unit cell a=9.826 b=9.826 c=9.826 alpha=14.99 beta=14.99 gamma=14.99
Atoms (fractional coordinates):
B1 0.440 0.440 0.440
B2 0.200 0.200 0.200
B3 0.943 0.943 0.943
B4 0.737 0.737 0.737
C1 0.253 0.253 0.253
C2 0.999 0.999 0.999
B5 0.497 0.497 0.497
C3 0.682 0.682 0.682

Output
E_form (eV/f.u.): 3.83